# 1
Computed, not measured: a geometry-optimized Mg12TlPb6 structure at the PBE level of DFT.

- crystal system = trigonal
- polymorph energy (0 for the lowest one) (eV/f.u.) = 0.00
- VASP energy (eV per atom) = -2.286
- ρ (Mg/m³) = 5.73
- ΔH_f (0 K) (meV per atom) = 17

Cell: 11.6572 11.6572 12.8375 Å, 90.00 90.00 120.00°
Last column: nearest neighbours and their distance in Å.
Space group R-3 (No. 148, hexagonal axes)
Symmetry-distinct sites (fractional):
Mg: 0.0025 0.8241 0.3204  3 Pb 3.08-3.31, 1 Tl 3.10, 2 Mg 3.14-3.28
Mg: 0.0642 0.2204 0.9186  4 Pb 3.02-3.17, 5 Mg 3.10-3.34
Tl: 0.0000 0.0000 0.5000  6 Mg 3.10
Pb: 0.0192 0.4422 0.8168  7 Mg 3.02-3.31


# 2
Computed, not measured: a geometry-optimized Mg3TlPb4 structure at the PBE level of DFT.

- crystal system = orthorhombic
- polymorph energy (0 for the lowest one) (eV/f.u.) = 0.00
- VASP energy (eV per atom) = -2.772
- ρ (Mg/m³) = 8.29
- ΔH_f (0 K) (meV per atom) = -24

Cell: 3.5813 5.5833 11.0758 Å, 90.00 90.00 90.00°
Last column: nearest neighbours and their distance in Å.
Space group Pmmm (No. 47)
Symmetry-distinct sites (fractional):
Mg: 0.0000 0.0000 0.0000  8 Pb 3.13-3.32
Mg: 0.0000 0.5000 0.2505  8 Pb 3.29-3.32, 2 Mg 3.58
Tl: 0.0000 0.0000 0.5000  8 Pb 3.32-3.46, 2 Tl 3.58
Pb: 0.5000 0.0000 0.2323  6 Mg 3.13-3.32, 2 Tl 3.46
Pb: 0.5000 0.5000 0.0000  8 Mg 3.30-3.32, 2 Pb 3.58
Pb: 0.5000 0.5000 0.5000  4 Mg 3.29, 4 Tl 3.32, 2 Pb 3.58


# 3
Computed, not measured: a geometry-optimized Mg4Tl2Pb5 structure at the PBE level of DFT.

- crystal system = monoclinic
- polymorph energy (0 for the lowest one) (eV/f.u.) = 0.21
- VASP energy (eV per atom) = -2.678
- ρ (Mg/m³) = 8.07
- ΔH_f (0 K) (meV per atom) = 18

Cell: 13.0172 6.6777 9.7509 Å, 90.00 131.51 90.00°
Last column: nearest neighbours and their distance in Å.
Space group C2/m (No. 12)
Symmetry-distinct sites (fractional):
Mg: 0.1537 0.0000 0.3991  5 Pb 2.97-3.26, 1 Tl 3.23
Mg: 0.2112 0.0000 0.9678  5 Pb 2.97-3.17, 1 Tl 3.14
Tl: 0.0313 0.5000 0.2195  2 Mg 3.14-3.23
Pb: 0.0000 0.0000 0.0000  4 Mg 2.97
Pb: 0.1711 0.2548 0.6751  4 Mg 3.06-3.26, 3 Pb 3.27-3.40


# 4
Computed, not measured: a geometry-optimized MgTl14Pb structure at the PBE level of DFT.

- crystal system = orthorhombic
- VASP energy (eV per atom) = -2.388
- ρ (Mg/m³) = 10.70
- ΔH_f (0 K) (meV per atom) = 14

Cell: 11.3784 6.9788 12.0906 Å, 90.00 90.00 90.00°
Last column: nearest neighbours and their distance in Å.
Space group Amm2 (No. 38)
Symmetry-distinct sites (fractional):
Mg: 0.0000 0.0000 0.0000  10 Tl 3.40-3.49, 2 Pb 3.49
Tl: 0.0000 0.2472 0.7493  8 Tl 3.43-3.53, 2 Pb 3.43-3.55, 2 Mg 3.49
Tl: 0.2426 0.0000 0.1636  1 Mg 3.40, 11 Tl 3.44-3.56
Tl: 0.2440 0.2487 0.9154  10 Tl 3.43-3.55, 1 Mg 3.43, 1 Pb 3.45
Tl: 0.2532 0.0000 0.6660  11 Tl 3.47-3.51, 1 Pb 3.48
Tl: 0.5000 0.0000 0.3314  12 Tl 3.46-3.56
Tl: 0.5000 0.0000 0.8367  12 Tl 3.44-3.54
Tl: 0.5000 0.2468 0.0832  12 Tl 3.44-3.55
Pb: 0.0000 0.0000 0.5041  10 Tl 3.43-3.55, 2 Mg 3.49


# 5
Computed, not measured: a geometry-optimized MgTlPb6 structure at the PBE level of DFT.

- crystal system = tetragonal
- VASP energy (eV per atom) = -3.277
- ρ (Mg/m³) = 10.03
- ΔH_f (0 K) (meV per atom) = -1

Cell: 4.9641 4.9641 9.8925 Å, 90.00 90.00 90.00°
Last column: nearest neighbours and their distance in Å.
Space group P4/mmm (No. 123)
Symmetry-distinct sites (fractional):
Mg: 0.0000 0.0000 0.0000  12 Pb 3.45-3.51
Tl: 0.0000 0.0000 0.5000  12 Pb 3.51-3.56
Pb: 0.0000 0.5000 0.2425  8 Pb 3.45-3.56, 2 Mg 3.45, 2 Tl 3.56
Pb: 0.5000 0.5000 0.0000  8 Pb 3.45, 4 Mg 3.51
Pb: 0.5000 0.5000 0.5000  4 Tl 3.51, 8 Pb 3.56


# 6
Computed, not measured: a geometry-optimized Mg4TlPb4 structure at the PBE level of DFT.

- crystal system = tetragonal
- polymorph energy (0 for the lowest one) (eV/f.u.) = 0.73
- VASP energy (eV per atom) = -2.555
- ρ (Mg/m³) = 6.91
- ΔH_f (0 K) (meV per atom) = 65

Cell: 7.3135 7.3135 10.1500 Å, 90.00 90.00 90.00°
Last column: nearest neighbours and their distance in Å.
Space group P4_2/nmc (No. 137, origin choice 2)
Symmetry-distinct sites (fractional):
Mg: 0.0014 0.7500 0.0275  5 Pb 3.08-3.16, 1 Tl 3.35
Tl: 0.2500 0.7500 0.7500  4 Mg 3.35
Pb: 0.0332 0.2500 0.6625  5 Mg 3.08-3.16, 3 Pb 3.17-3.43


Q: Among the records above, which one has the lowest VASP energy?
A: MgTlPb6